1.
DFT (PBE) results for a relaxed Fe6CuNi8 crystal.

Its electronic total energy is -6.50 eV per atom. The energy relative to the elements comes out at 0.243 eV per atom. The value obtained for the total magnetization is 20.40 Bohr magnetons per cell. The excess energy over the best structure of this formula in the dataset is 0.00 kJ/mol of atoms.

The space group is P-3 (No. 147) and the conventional cell measures 9.1690, 9.1690 and 2.4979 Å, with angles of 90.00, 90.00 and 120.00 degrees. The distinct sites, in fractional coordinates, are Fe at (0.0954, 0.6261, 0.2633), Cu at (0.0000, 0.0000, 0.5000), Ni at (0.0765, 0.2855, 0.2255) and Ni at (0.3333, 0.6667, 0.7633).

2.
DFT (PBE) results for a relaxed Fe3CuNi12 crystal.

Its electronic total energy is -6.21 eV per atom. The energy relative to the elements comes out at -0.029 eV per atom. The value obtained for the total magnetization is 7.16 Bohr magnetons per cell.

The space group is P4/mmm (No. 123) and the conventional cell measures 3.544, 3.544 and 14.135 Å, with angles of 90.00, 90.00 and 90.00 degrees. The distinct sites, in fractional coordinates, are Fe at (0.000, 0.000, 0.000), Fe at (0.000, 0.000, 0.251), Cu at (0.000, 0.000, 0.500), Ni at (0.000, 0.500, 0.125), Ni at (0.000, 0.500, 0.373), Ni at (0.500, 0.500, 0.000), Ni at (0.500, 0.500, 0.249) and Ni at (0.500, 0.500, 0.500).

3.
DFT (PBE) results for a relaxed FeCu2Ni5 crystal.

Its electronic total energy is -5.72 eV per atom. The energy relative to the elements comes out at -0.028 eV per atom. The value obtained for the total magnetization is 11.41 Bohr magnetons per cell. The excess energy over the best structure of this formula in the dataset is 0.00 kJ/mol of atoms.

The space group is I4/mmm (No. 139) and the conventional cell measures 3.590, 3.590 and 13.944 Å, with angles of 90.00, 90.00 and 90.00 degrees. The distinct sites, in fractional coordinates, are Fe at (0.000, 0.000, 0.000), Cu at (0.000, 0.000, 0.251), Ni at (0.000, 0.000, 0.500) and Ni at (0.000, 0.500, 0.122).